# Co2HgRu2

An optimized crystal structure of Co2HgRu2 (PBE-GGA, Alexandria).

Results
For the volume, the calculation gives 14.31 Å³ per atom. Its space group is P4/mbm, No. 127. As for the total energy: -6.187 eV/atom.

a = 7.243 Å, b = 7.243 Å, c = 2.729 Å
α = 90.00°, β = 90.00°, γ = 90.00°
Sites, in units of the cell vectors:
Co 0.122 0.378 0.000
Co 0.378 0.878 0.000
Co 0.622 0.122 0.000
Co 0.878 0.622 0.000
Hg 0.000 0.000 0.000
Hg 0.500 0.500 0.000
Ru 0.166 0.666 0.500
Ru 0.334 0.166 0.500
Ru 0.666 0.834 0.500
Ru 0.834 0.334 0.500